Crystalline K2YSi at its relaxed geometry. Source: Alexandria, functional PBE.

abc: 6.048 6.660 6.435
angles: 90.00 90.00 90.00
Space group Cmmm (No. 65)
One atom of each set of equivalent atoms:
K: 0.000 0.222 0.000 [4 per cell]
Y: 0.000 0.500 0.500 [2 per cell]
Si: 0.000 0.000 0.500 [2 per cell]

Calculated values
* DOS at the Fermi energy: 1.61 states/eV/f.u.
* uncorrected formation energy: 0.340 eV/atom